Entry 1:
# InFeOs

A relaxed structure of InFeOs (PBE, Alexandria via LeMat-Bulk).

abc: 2.8518 2.8518 6.5902
angles: 90.00 90.00 120.00
Last column: magnetic moment on the atom in μB.
Element x y z (fractional)
Fe (0.0000, 0.0000, 0.9820)  1.80
In (0.3333, 0.6667, 0.3240)  -0.04
Os (0.6667, 0.3333, 0.6940)  -0.21

Calculated values
raw total energy = -7.0371 eV/atom
DOS(E_F) = 1.09 states/eV per atom
spin magnetization = 0.51 μB/atom
E above lowest polymorph = 3.54 kcal/mol of atoms
ΔE_f = 0.440 eV/atom
crystal system = trigonal
space-group type = P3m1 (156)

---

Entry 2:
# InFe2Os

A relaxed structure of InFe2Os (PBE, Alexandria via LeMat-Bulk).

abc: 3.8295 3.9189 3.9189
angles: 90.00 90.00 90.00
Last column: magnetic moment on the atom in μB.
Element x y z (fractional)
Fe (0.0000, 0.0000, 0.0000)  2.68
Fe (0.0000, 0.5000, 0.5000)  2.68
In (0.5000, 0.5000, 0.0000)  -0.08
Os (0.5000, 0.0000, 0.5000)  0.66

Calculated values
raw total energy = -7.3846 eV/atom
DOS(E_F) = 0.59 states/eV per atom
spin magnetization = 1.50 μB/atom
ΔE_f = 0.339 eV/atom
crystal system = tetragonal
space-group type = P4/mmm (123)

---

Entry 3:
# InFeOs

A relaxed structure of InFeOs (PBE, Alexandria via LeMat-Bulk).

abc: 4.1318 4.1318 4.1318
angles: 60.00 60.00 60.00
Element x y z (fractional)
Fe (0.7500, 0.7500, 0.7500)
In (0.0000, 0.0000, 0.0000)
Os (0.5000, 0.5000, 0.5000)

Calculated values
raw total energy = -6.9158 eV/atom
DOS(E_F) = 1.18 states/eV per atom
spin magnetization = 0.00 μB/atom
E above lowest polymorph = 6.33 kcal/mol of atoms
ΔE_f = 0.561 eV/atom
crystal system = cubic
space-group type = F-43m (216)

---

Entry 4:
# InFe4Os

A relaxed structure of InFe4Os (PBE, Alexandria via LeMat-Bulk).

abc: 4.8501 4.8501 4.8501
angles: 60.00 60.00 60.00
Last column: magnetic moment on the atom in μB.
Element x y z (fractional)
In (0.7500, 0.7500, 0.7500)  -0.08
Fe (0.8757, 0.3748, 0.3748)  2.41
Fe (0.3748, 0.3748, 0.8757)  2.41
Fe (0.3748, 0.8757, 0.3748)  2.41
Fe (0.3748, 0.3748, 0.3748)  2.41
Os (0.0000, 0.0000, 0.0000)  0.82

Calculated values
raw total energy = -7.7634 eV/atom
DOS(E_F) = 0.96 states/eV per atom
spin magnetization = 1.73 μB/atom
ΔE_f = 0.206 eV/atom
crystal system = cubic
space-group type = F-43m (216)

---

Entry 5:
# InFe2Os

A relaxed structure of InFe2Os (PBE, Alexandria via LeMat-Bulk).

abc: 7.0465 7.0465 5.6514
angles: 51.43 51.43 90.00
Last column: magnetic moment on the atom in μB.
Element x y z (fractional)
Os (0.0000, 0.0000, 0.0000)  0.27
Os (0.7500, 0.2500, 0.5000)  0.27
Fe (0.6641, 0.1250, 0.2500)  2.48
Fe (0.0859, 0.6250, 0.2500)  2.48
Fe (0.3750, 0.3359, 0.7500)  2.48
Fe (0.8750, 0.9141, 0.7500)  2.48
In (0.5000, 0.5000, 0.0000)  -0.02
In (0.2500, 0.7500, 0.5000)  -0.02

Calculated values
raw total energy = -6.9710 eV/atom
DOS(E_F) = 0.98 states/eV per atom
spin magnetization = 1.34 μB/atom
ΔE_f = 0.752 eV/atom
crystal system = tetragonal
space-group type = I-42d (122)

---

Entry 6:
# In3FeOs

A relaxed structure of In3FeOs (PBE, Alexandria via LeMat-Bulk).

abc: 5.1548 5.1548 5.1548
angles: 90.00 90.00 90.00
Last column: magnetic moment on the atom in μB.
Element x y z (fractional)
Os (0.0000, 0.0000, 0.0000)  0.22
Fe (0.5000, 0.5000, 0.5000)  3.26
In (0.0000, 0.5000, 0.0000)  -0.01
In (0.0000, 0.0000, 0.5000)  -0.03
In (0.5000, 0.0000, 0.0000)  0.03

Calculated values
raw total energy = -4.7124 eV/atom
DOS(E_F) = 3.40 states/eV per atom
spin magnetization = 0.75 μB/atom
E above lowest polymorph = 0.00 kcal/mol of atoms
ΔE_f = 0.869 eV/atom
crystal system = cubic
space-group type = Pm-3m (221)

---

Entry 7:
# InFe2Os

A relaxed structure of InFe2Os (PBE, Alexandria via LeMat-Bulk).

abc: 2.7335 2.7335 8.6449
angles: 90.00 90.00 111.56
Last column: magnetic moment on the atom in μB.
Element x y z (fractional)
Fe (0.0000, 0.0000, 0.9846)  2.58
Fe (0.0000, 0.0000, 0.5154)  2.58
In (0.5000, 0.5000, 0.2500)  -0.07
Os (0.5000, 0.5000, 0.7500)  0.46

Calculated values
raw total energy = -7.2563 eV/atom
DOS(E_F) = 0.90 states/eV per atom
spin magnetization = 1.38 μB/atom
ΔE_f = 0.467 eV/atom
crystal system = orthorhombic
space-group type = Cmmm (65)

---

Entry 8:
# InFe2Os

A relaxed structure of InFe2Os (PBE, Alexandria via LeMat-Bulk).

abc: 4.7617 4.7617 4.7617
angles: 131.84 131.84 70.48
Last column: magnetic moment on the atom in μB.
Element x y z (fractional)
Fe (0.0000, 0.0000, 0.0000)  2.61
Fe (0.2500, 0.7500, 0.5000)  2.55
In (0.5000, 0.5000, 0.0000)  -0.06
Os (0.7500, 0.2500, 0.5000)  0.67

Calculated values
raw total energy = -7.3603 eV/atom
DOS(E_F) = 0.81 states/eV per atom
spin magnetization = 1.44 μB/atom
ΔE_f = 0.363 eV/atom
crystal system = tetragonal
space-group type = I-4m2 (119)

---

Entry 9:
# InFe2Os

A relaxed structure of InFe2Os (PBE, Alexandria via LeMat-Bulk).

abc: 6.1729 4.6819 2.7892
angles: 90.00 63.14 121.64
Last column: magnetic moment on the atom in μB.
Element x y z (fractional)
Fe (0.0000, 0.0000, 0.0000)  2.49
Fe (0.5000, 0.0000, 0.5000)  2.49
In (0.0000, 0.5000, 0.5000)  -0.09
Os (0.5000, 0.5000, 0.0000)  0.17

Calculated values
raw total energy = -7.3574 eV/atom
DOS(E_F) = 1.02 states/eV per atom
spin magnetization = 1.27 μB/atom
ΔE_f = 0.366 eV/atom
crystal system = orthorhombic
space-group type = Cmmm (65)

---

Entry 10:
# InFe2Os

A relaxed structure of InFe2Os (PBE, Alexandria via LeMat-Bulk).

abc: 2.7885 3.7263 5.6481
angles: 90.00 90.00 90.00
Last column: magnetic moment on the atom in μB.
Element x y z (fractional)
Fe (0.0000, 0.0000, 0.9616)  2.21
Fe (0.0000, 0.0000, 0.5384)  2.21
In (0.5000, 0.5000, 0.2500)  -0.08
Os (0.5000, 0.5000, 0.7500)  0.09

Calculated values
raw total energy = -7.4082 eV/atom
DOS(E_F) = 1.38 states/eV per atom
spin magnetization = 1.12 μB/atom
ΔE_f = 0.315 eV/atom
crystal system = orthorhombic
space-group type = Pmmm (47)

---

Entry 11:
# InFe2Os

A relaxed structure of InFe2Os (PBE, Alexandria via LeMat-Bulk).

abc: 4.3741 4.3741 4.3741
angles: 60.00 60.00 60.00
Last column: magnetic moment on the atom in μB.
Element x y z (fractional)
Fe (0.0000, 0.0000, 0.0000)  2.80
Fe (0.7500, 0.7500, 0.7500)  2.59
In (0.5000, 0.5000, 0.5000)  -0.03
Os (0.2500, 0.2500, 0.2500)  0.59

Calculated values
raw total energy = -7.3544 eV/atom
DOS(E_F) = 0.91 states/eV per atom
spin magnetization = 1.48 μB/atom
ΔE_f = 0.369 eV/atom
crystal system = cubic
space-group type = F-43m (216)

---

Entry 12:
# InFe2Os

A relaxed structure of InFe2Os (PBE, Alexandria via LeMat-Bulk).

abc: 4.1060 2.7459 5.3135
angles: 75.13 90.00 90.00
Last column: magnetic moment on the atom in μB.
Element x y z (fractional)
Fe (0.0000, 0.1201, 0.9924)  2.30
Fe (0.5000, 0.1234, 0.2311)  2.05
In (0.0000, 0.4734, 0.4787)  -0.06
Os (0.5000, 0.7831, 0.7977)  -0.08

Calculated values
raw total energy = -7.3724 eV/atom
DOS(E_F) = 0.93 states/eV per atom
spin magnetization = 1.06 μB/atom
ΔE_f = 0.351 eV/atom
crystal system = monoclinic
space-group type = Pm (6)

---

Entry 13:
# InFe2Os

A relaxed structure of InFe2Os (PBE, Alexandria via LeMat-Bulk).

abc: 5.1440 5.1440 5.1440
angles: 145.09 128.80 63.47
Last column: magnetic moment on the atom in μB.
Element x y z (fractional)
Fe (0.0135, 0.0135, 0.0000)  2.69
Fe (0.4865, 0.4865, 0.0000)  2.69
In (0.7500, 0.2500, 0.5000)  -0.06
Os (0.2500, 0.7500, 0.5000)  0.45

Calculated values
raw total energy = -7.3353 eV/atom
DOS(E_F) = 0.90 states/eV per atom
spin magnetization = 1.43 μB/atom
ΔE_f = 0.388 eV/atom
crystal system = orthorhombic
space-group type = Immm (71)

---

Entry 14:
# In2FeOs2

A relaxed structure of In2FeOs2 (PBE, Alexandria via LeMat-Bulk).

abc: 7.7383 7.7383 2.9306
angles: 90.00 90.00 90.00
Last column: magnetic moment on the atom in μB.
Element x y z (fractional)
Os (0.1645, 0.6645, 0.5000)  -0.04
Os (0.6645, 0.8355, 0.5000)  -0.06
Os (0.8355, 0.3355, 0.5000)  -0.04
Os (0.3355, 0.1645, 0.5000)  -0.06
Fe (0.0000, 0.0000, 0.0000)  0.13
Fe (0.5000, 0.5000, 0.0000)  0.13
In (0.3634, 0.8634, 0.0000)  0.00
In (0.8634, 0.6366, 0.0000)  0.00
In (0.6366, 0.1366, 0.0000)  0.00
In (0.1366, 0.3634, 0.0000)  0.00

Calculated values
raw total energy = -6.1272 eV/atom
DOS(E_F) = 1.74 states/eV per atom
spin magnetization = 0.01 μB/atom
ΔE_f = 1.153 eV/atom
crystal system = tetragonal
space-group type = P4/mbm (127)

---

Entry 15:
# InFe2Os

A relaxed structure of InFe2Os (PBE, Alexandria via LeMat-Bulk).

abc: 4.6877 4.6877 4.7131
angles: 78.42 78.42 36.12
Last column: magnetic moment on the atom in μB.
Element x y z (fractional)
Fe (0.0085, 0.0085, 0.9549)  2.31
Fe (0.4915, 0.4915, 0.5451)  2.31
In (0.2500, 0.2500, 0.2500)  -0.04
Os (0.7500, 0.7500, 0.7500)  0.31

Calculated values
raw total energy = -7.3329 eV/atom
DOS(E_F) = 1.10 states/eV per atom
spin magnetization = 1.23 μB/atom
ΔE_f = 0.391 eV/atom
crystal system = monoclinic
space-group type = C2/m (12)

---

Entry 16:
# InFe2Os

A relaxed structure of InFe2Os (PBE, Alexandria via LeMat-Bulk).

abc: 2.7602 2.7602 8.6791
angles: 90.00 90.00 114.33
Last column: magnetic moment on the atom in μB.
Element x y z (fractional)
Fe (0.0000, 0.0000, 0.0085)  2.71
Fe (0.5000, 0.5000, 0.2260)  2.61
In (0.0000, 0.0000, 0.4922)  -0.04
Os (0.5000, 0.5000, 0.7732)  0.25

Calculated values
raw total energy = -7.2598 eV/atom
DOS(E_F) = 0.96 states/eV per atom
spin magnetization = 1.38 μB/atom
ΔE_f = 0.464 eV/atom
crystal system = orthorhombic
space-group type = Cmm2 (35)

---

Entry 17:
# InFeOs

A relaxed structure of InFeOs (PBE, Alexandria via LeMat-Bulk).

abc: 6.0227 6.0227 2.8281
angles: 76.42 76.42 27.16
Last column: magnetic moment on the atom in μB.
Element x y z (fractional)
Fe (0.0157, 0.0157, 0.9843)  0.95
In (0.3382, 0.3382, 0.6618)  -0.02
Os (0.6461, 0.6461, 0.3539)  -0.06

Calculated values
raw total energy = -7.1905 eV/atom
DOS(E_F) = 0.48 states/eV per atom
spin magnetization = 0.29 μB/atom
E above lowest polymorph = 0.00 kcal/mol of atoms
ΔE_f = 0.287 eV/atom
crystal system = tetragonal
space-group type = I4mm (107)

---

Entry 18:
# In2FePOs

A relaxed structure of In2FePOs (PBE, Alexandria via LeMat-Bulk).

abc: 5.1513 4.5888 5.1513
angles: 90.00 90.00 90.00
Last column: magnetic moment on the atom in μB.
Element x y z (fractional)
P (0.5000, 0.5000, 0.5000)  -0.21
Os (0.0000, 0.0000, 0.0000)  0.06
Fe (0.0000, 0.5000, 0.0000)  2.85
In (0.0000, 0.0000, 0.5000)  -0.03
In (0.5000, 0.0000, 0.0000)  -0.01

Calculated values
raw total energy = -5.0422 eV/atom
DOS(E_F) = 1.46 states/eV per atom
spin magnetization = 0.51 μB/atom
ΔE_f = 1.074 eV/atom
crystal system = tetragonal
space-group type = P4/mmm (123)

---

Entry 19:
# InFeOsPb2

A relaxed structure of InFeOsPb2 (PBE, Alexandria via LeMat-Bulk).

abc: 5.0688 4.5980 5.0688
angles: 90.00 90.00 90.00
Last column: magnetic moment on the atom in μB.
Element x y z (fractional)
Pb (0.0000, 0.0000, 0.5000)  0.00
Pb (0.5000, 0.0000, 0.0000)  0.00
Os (0.0000, 0.5000, 0.0000)  -0.01
Fe (0.0000, 0.0000, 0.0000)  0.23
In (0.5000, 0.5000, 0.5000)  0.00

Calculated values
raw total energy = -5.0536 eV/atom
DOS(E_F) = 1.00 states/eV per atom
spin magnetization = 0.04 μB/atom
ΔE_f = 0.916 eV/atom
crystal system = tetragonal
space-group type = P4/mmm (123)

---

Entry 20:
# In2FeOsSe

A relaxed structure of In2FeOsSe (PBE, Alexandria via LeMat-Bulk).

abc: 5.2103 4.6247 5.2103
angles: 90.00 90.00 90.00
Last column: magnetic moment on the atom in μB.
Element x y z (fractional)
Os (0.0000, 0.0000, 0.0000)  0.19
Fe (0.0000, 0.5000, 0.0000)  2.96
Se (0.5000, 0.5000, 0.5000)  0.05
In (0.0000, 0.0000, 0.5000)  -0.03
In (0.5000, 0.0000, 0.0000)  0.03

Calculated values
raw total energy = -5.0093 eV/atom
DOS(E_F) = 1.21 states/eV per atom
formation energy (no corrections) = 348 kJ/mol of formula units
spin magnetization = 0.67 μB/atom
crystal system = tetragonal
space-group type = P4/mmm (123)